Density functional theory data (SCAN) for Re2Sb at its PBEsol-relaxed geometry.

Lattice parameters (Å, degrees): 6.0231 6.0231 6.8291 115.98 115.98 28.27
With the nearest neighbours (Å) after each atom.
Atoms (fractional coordinates):
Re1 0.0605 0.0605 0.2256  7 Re 2.63-2.94, 3 Sb 2.80-2.88
Re2 0.3548 0.3548 0.0010  8 Re 2.63-2.94, 3 Sb 2.72-2.95
Re3 0.6452 0.6452 0.9990  8 Re 2.63-2.94, 3 Sb 2.72-2.95
Re4 0.9395 0.9395 0.7744  7 Re 2.63-2.94, 3 Sb 2.80-2.88
Sb1 0.3342 0.3342 0.3824  6 Re 2.72-2.95, 2 Sb 2.94
Sb2 0.6657 0.6657 0.6176  6 Re 2.72-2.95, 2 Sb 2.94

Summary:
The calculated density comes out at 15.676 Mg/m³. The energy is -356.70 eV/cell. The energy above the lowest structure with this stoichiometry comes out at 0.000 eV/atom. Its energy relative to the elements, uncorrected is 369 meV per atom.



Density functional theory data (SCAN) for CuCl2F2 at its PBEsol-relaxed geometry.

Lattice parameters (Å, degrees): 5.2953 5.2953 6.1663 90.00 90.00 90.00
With the nearest neighbours (Å) after each atom.
Atoms (fractional coordinates):
Cu1 0.0000 0.0000 0.0000  4 F 1.89
Cu2 0.5000 0.5000 0.0000  4 F 1.89
Cl1 0.1332 0.3668 0.5000  1 Cl 1.99
Cl2 0.3668 0.8668 0.5000  1 Cl 1.99
Cl3 0.6332 0.1332 0.5000  1 Cl 1.99
Cl4 0.8668 0.6332 0.5000  1 Cl 1.99
F1 0.2166 0.7166 0.0000  2 Cu 1.89
F2 0.2834 0.2166 0.0000  2 Cu 1.89
F3 0.7166 0.7834 0.0000  2 Cu 1.89
F4 0.7834 0.2834 0.0000  2 Cu 1.89

Summary:
The calculated density comes out at 3.312 Mg/m³. The energy is -85.69 eV/cell. Its energy relative to the elements, uncorrected is -922 meV per atom.



Density functional theory data (SCAN) for BaCu2P2 at its PBEsol-relaxed geometry.

Lattice parameters (Å, degrees): 8.7695 4.0504 10.3547 90.00 90.00 90.00
With the nearest neighbours (Å) after each atom.
Atoms (fractional coordinates):
Ba1 0.2434 0.2500 0.1676  8 P 3.14-3.49, 8 Cu 3.25-3.46
Ba2 0.2566 0.7500 0.6676  8 P 3.14-3.49, 8 Cu 3.25-3.46
Ba3 0.7434 0.2500 0.3324  8 P 3.14-3.49, 8 Cu 3.25-3.46
Ba4 0.7566 0.7500 0.8324  8 P 3.14-3.49, 8 Cu 3.25-3.46
Cu1 0.0430 0.2500 0.8698  4 P 2.32-2.40
Cu2 0.0917 0.2500 0.4554  4 P 2.33-2.44
Cu3 0.4083 0.7500 0.9554  4 P 2.33-2.44
Cu4 0.4570 0.7500 0.3698  4 P 2.32-2.40
Cu5 0.5430 0.2500 0.6302  4 P 2.32-2.40
Cu6 0.5917 0.2500 0.0446  4 P 2.33-2.44
Cu7 0.9083 0.7500 0.5446  4 P 2.33-2.44
Cu8 0.9570 0.7500 0.1302  4 P 2.32-2.40
P1 0.0358 0.7500 0.3468  4 Cu 2.33-2.37
P2 0.1297 0.7500 0.9509  4 Cu 2.32-2.44
P3 0.3703 0.2500 0.4509  4 Cu 2.32-2.44
P4 0.4642 0.2500 0.8468  4 Cu 2.33-2.37
P5 0.5358 0.7500 0.1532  4 Cu 2.33-2.37
P6 0.6297 0.7500 0.5491  4 Cu 2.32-2.44
P7 0.8703 0.2500 0.0491  4 Cu 2.32-2.44
P8 0.9642 0.2500 0.6532  4 Cu 2.33-2.37

Summary:
The formation energy comes out at -0.551 eV per atom. The calculated density comes out at 5.894 Mg/m³. The energy is -374.01 eV/cell.



Density functional theory data (SCAN) for CaSc2Al at its PBEsol-relaxed geometry.

Lattice parameters (Å, degrees): 3.2664 4.6907 6.4532 90.00 102.50 90.00
With the nearest neighbours (Å) after each atom.
Atoms (fractional coordinates):
Ca1 0.0000 0.0000 0.0000  2 Al 3.23, 2 Ca 3.27, 8 Sc 3.31-3.46
Sc1 0.4239 0.5000 0.7126  1 Sc 2.89, 2 Al 2.91
Sc2 0.5761 0.5000 0.2874  1 Sc 2.89, 2 Al 2.91
Al1 0.0000 0.0000 0.5000  4 Sc 2.91, 2 Ca 3.23

Summary:
The formation energy comes out at 0.026 eV per atom. The calculated density comes out at 2.700 Mg/m³. The energy is -45.79 eV/cell.



Question: Among the records above, which one has the highest calculated density?
Answer: Re2Sb